No. 1
Computed, not measured: a relaxed structure of La2CoBr at the PBE level of DFT.

Cell lengths 3.589, 3.589, 8.334 Å; angles 90.00, 90.00, 105.07 degrees
Sites, in units of the cell vectors:
La 0.000 0.000 0.201
La 0.000 0.000 0.799
Co 0.500 0.500 0.000
Br 0.500 0.500 0.500

E_form (uncorrected) = -0.64 eV/atom


No. 2
Computed, not measured: a relaxed structure of LaCo3Br at the PBE level of DFT.

Cell lengths 4.474, 4.474, 4.474 Å; angles 90.00, 90.00, 90.00 degrees
Sites, in units of the cell vectors:
La 0.000 0.000 0.000
Co 0.000 0.500 0.500
Co 0.500 0.000 0.500
Co 0.500 0.500 0.000
Br 0.500 0.500 0.500

E_form (uncorrected) = 0.61 eV/atom


No. 3
Computed, not measured: a relaxed structure of LaCo2Br at the PBE level of DFT.

Cell lengths 4.733, 4.733, 4.733 Å; angles 60.00, 60.00, 60.00 degrees
Sites, in units of the cell vectors:
La 0.000 0.000 0.000
Co 0.250 0.250 0.250
Co 0.750 0.750 0.750
Br 0.500 0.500 0.500

E_form (uncorrected) = 0.48 eV/atom


No. 4
Computed, not measured: a relaxed structure of La3CoBr at the PBE level of DFT.

Cell lengths 5.437, 5.437, 5.437 Å; angles 90.00, 90.00, 90.00 degrees
Sites, in units of the cell vectors:
La 0.000 0.000 0.500
La 0.000 0.500 0.000
La 0.500 0.000 0.000
Co 0.000 0.000 0.000
Br 0.500 0.500 0.500

E_form (uncorrected) = -0.29 eV/atom


No. 5
Computed, not measured: a relaxed structure of La4Co2Br3 at the PBE level of DFT.

Cell lengths 3.979, 8.172, 8.749 Å; angles 108.92, 96.03, 100.47 degrees
Sites, in units of the cell vectors:
La 0.038 0.241 0.139
La 0.411 0.314 0.594
La 0.589 0.686 0.406
La 0.962 0.759 0.861
Co 0.111 0.573 0.634
Co 0.889 0.427 0.366
Br 0.154 0.941 0.280
Br 0.500 0.500 0.000
Br 0.846 0.059 0.720

E_form (uncorrected) = -0.91 eV/atom


No. 6
Computed, not measured: a relaxed structure of LaCoBr4 at the PBE level of DFT.

Cell lengths 6.240, 6.240, 6.240 Å; angles 60.00, 60.00, 60.00 degrees
Sites, in units of the cell vectors:
La 0.000 0.000 0.000
Co 0.250 0.250 0.250
Br 0.126 0.625 0.625
Br 0.625 0.126 0.625
Br 0.625 0.625 0.126
Br 0.625 0.625 0.625

E_form (uncorrected) = 0.22 eV/atom


No. 7
Computed, not measured: a relaxed structure of La2CoBr at the PBE level of DFT.

Cell lengths 6.794, 6.794, 6.794 Å; angles 112.92, 112.92, 102.78 degrees
Sites, in units of the cell vectors:
La 0.061 0.625 0.936
La 0.375 0.311 0.436
La 0.689 0.125 0.064
La 0.875 0.939 0.564
Co 0.000 0.000 0.000
Co 0.750 0.250 0.500
Br 0.250 0.750 0.500
Br 0.500 0.500 0.000

E_form (uncorrected) = -0.52 eV/atom


No. 8
Computed, not measured: a relaxed structure of La2CoBr at the PBE level of DFT.

Cell lengths 6.516, 6.516, 6.516 Å; angles 142.96, 142.96, 53.39 degrees
Sites, in units of the cell vectors:
La 0.000 0.000 0.000
La 0.750 0.250 0.500
Co 0.500 0.500 0.000
Br 0.250 0.750 0.500

E_form (uncorrected) = -0.33 eV/atom


No. 9
Computed, not measured: a relaxed structure of La2CoBr at the PBE level of DFT.

Cell lengths 8.441, 8.441, 8.441 Å; angles 154.86, 154.28, 36.27 degrees
Sites, in units of the cell vectors:
La 0.000 0.000 0.000
La 0.704 0.204 0.500
Co 0.580 0.580 0.000
Br 0.329 0.829 0.500

E_form (uncorrected) = -0.61 eV/atom


No. 10
Computed, not measured: a relaxed structure of La6Co3Br at the PBE level of DFT.

Cell lengths 4.098, 12.032, 12.469 Å; angles 109.77, 94.02, 92.79 degrees
Sites, in units of the cell vectors:
La 0.177 0.069 0.338
La 0.214 0.462 0.109
La 0.218 0.898 0.035
La 0.254 0.414 0.569
La 0.286 0.238 0.808
La 0.321 0.717 0.758
La 0.679 0.283 0.242
La 0.714 0.762 0.192
La 0.746 0.586 0.431
La 0.782 0.102 0.965
La 0.786 0.538 0.891
La 0.823 0.931 0.662
Co 0.212 0.423 0.341
Co 0.257 0.669 0.033
Co 0.279 0.990 0.809
Co 0.721 0.010 0.191
Co 0.743 0.331 0.967
Co 0.788 0.577 0.659
Br 0.235 0.839 0.430
Br 0.765 0.161 0.570

E_form (uncorrected) = -0.35 eV/atom


No. 11
Computed, not measured: a relaxed structure of LaCo2Br at the PBE level of DFT.

Cell lengths 5.242, 5.242, 5.242 Å; angles 51.23, 51.23, 51.23 degrees
Sites, in units of the cell vectors:
La 0.000 0.000 0.000
Co 0.176 0.176 0.176
Co 0.824 0.824 0.824
Br 0.500 0.500 0.500

E_form (uncorrected) = 0.19 eV/atom


No. 12
Computed, not measured: a relaxed structure of La2CoBr at the PBE level of DFT.

Cell lengths 4.245, 4.245, 6.124 Å; angles 90.00, 90.00, 90.00 degrees
Sites, in units of the cell vectors:
La 0.000 0.000 0.000
La 0.500 0.500 0.447
Co 0.500 0.500 0.040
Br 0.000 0.000 0.503

E_form (uncorrected) = -0.60 eV/atom


Number 1: density 6.67 g/cm3, V 25.9 Å³/atom, DFT total energy -5.30 eV per atom. Number 2: density 7.34 g/cm3, V 17.9 Å³/atom, DFT total energy -4.97 eV per atom. Number 3: density 7.46 g/cm3, V 18.7 Å³/atom, DFT total energy -4.72 eV per atom. Number 4: density 5.74 g/cm3, V 32.1 Å³/atom, DFT total energy -5.01 eV per atom. Number 5: density 5.82 g/cm3, V 28.9 Å³/atom, DFT total energy -5.24 eV per atom. Number 6: density 5.00 g/cm3, V 28.6 Å³/atom, DFT total energy -2.91 eV per atom. Number 7: density 5.79 g/cm3, V 29.9 Å³/atom, DFT total energy -5.18 eV per atom. Number 8: density 6.94 g/cm3, V 24.9 Å³/atom, DFT total energy -4.99 eV per atom. Number 9: density 6.25 g/cm3, V 27.7 Å³/atom, DFT total energy -5.27 eV per atom. Number 10: density 6.29 g/cm3, V 28.8 Å³/atom, DFT total energy -5.61 eV per atom. Number 11: density 6.92 g/cm3, V 20.2 Å³/atom, DFT total energy -5.02 eV per atom. Number 12: density 6.27 g/cm3, V 27.6 Å³/atom, DFT total energy -5.26 eV per atom.